one | {"formula": "Sm2ThIn", "functional": "PBE", "state": "relaxed", "magnetic_moment_mub_per_cell": 0.000, "rho_g_cm3": 8.90, "lattice_angstrom": [[-2.8061, -2.1176, 0.9263], [2.2737, -2.7908, 0.5081], [1.0441, 2.4438, 8.7502]], "species": ["Sm", "Th", "Sm", "In"], "frac_coords": [[0.0000, 0.0000, 0.7665], [0.5000, 0.5000, 0.5000], [0.0000, 0.0000, 0.2335], [0.5000, 0.5000, 0.0000]]}

two | {"formula": "Sm2ThIn", "functional": "PBE", "state": "relaxed", "magnetic_moment_mub_per_cell": 0.000, "rho_g_cm3": 8.97, "lattice_angstrom": [[4.8521, 0.0000, 0.0000], [0.0000, 4.9694, 0.0000], [0.0000, 0.0000, 4.9694]], "species": ["In", "Th", "Sm", "Sm"], "frac_coords": [[0.5000, 0.0000, 0.0000], [0.5000, 0.5000, 0.5000], [0.0000, 0.0000, 0.5000], [0.0000, 0.5000, 0.0000]]}

three | {"formula": "Sm2ThIn", "functional": "PBE", "state": "relaxed", "magnetic_moment_mub_per_cell": 0.000, "rho_g_cm3": 8.57, "lattice_angstrom": [[3.6092, 0.0000, 0.0000], [1.8046, 3.1257, 0.0000], [1.8046, 1.0419, 11.1172]], "species": ["Sm", "Th", "Sm", "In"], "frac_coords": [[0.2549, 0.2549, 0.2354], [0.4999, 0.4999, 0.5002], [0.0788, 0.0788, 0.7637], [0.6665, 0.6665, 0.0006]]}

Tell me which of them is the most stable. Sure, it is one.

one | {"formula": "Sm2ThIn6", "functional": "PBE", "state": "relaxed", "magnetic_moment_mub_per_cell": 0.000, "rho_g_cm3": 8.45, "lattice_angstrom": [[-2.0321, -0.9359, -2.8125], [-0.3251, -8.2525, 2.9810], [-6.1029, 5.8064, 2.4773]], "species": ["In", "In", "Sm", "Sm", "In", "Th", "In", "In", "In"], "frac_coords": [[0.5000, 0.0000, 0.6649], [0.5000, 0.3351, 0.3351], [0.0000, 0.3333, 0.6667], [0.0000, 0.6667, 0.3333], [0.5000, 0.3351, 0.0000], [0.0000, 0.0000, 0.0000], [0.5000, 0.6649, 0.0000], [0.5000, 0.6649, 0.6649], [0.5000, 0.0000, 0.3351]]}

two | {"formula": "Sm2ThIn6", "functional": "PBE", "state": "relaxed", "magnetic_moment_mub_per_cell": 0.002, "rho_g_cm3": 7.77, "lattice_angstrom": [[-1.5533, -1.4211, 4.0644], [6.6406, 1.1133, 5.5047], [1.3823, 6.6506, 5.4311]], "species": ["Sm", "In", "In", "Th", "Sm", "In", "In", "In", "In"], "frac_coords": [[0.1224, 0.3776, 0.3776], [0.5000, 0.3067, 0.6933], [0.3136, 0.9933, 0.3796], [0.0000, 0.0000, 0.0000], [0.8776, 0.6224, 0.6224], [0.6864, 0.6204, 0.0067], [0.6864, 0.0067, 0.6204], [0.3136, 0.3796, 0.9933], [0.5000, 0.6933, 0.3067]]}

Tell me which of them is the most stable. Sure, it is one.

one | {"formula": "Sm2TiIn", "functional": "PBE", "state": "relaxed", "magnetic_moment_mub_per_cell": 1.651, "rho_g_cm3": 7.31, "lattice_angstrom": [[-1.9363, -1.1518, -3.9965], [2.7794, -3.8944, -0.2242], [-3.3362, -2.5158, 2.3415]], "species": ["Sm", "Ti", "In", "Sm"], "frac_coords": [[0.0000, 0.0000, 0.5000], [0.5000, 0.0000, 0.0000], [0.5000, 0.5000, 0.5000], [0.0000, 0.5000, 0.0000]]}

two | {"formula": "Sm2TiIn", "functional": "PBE", "state": "relaxed", "magnetic_moment_mub_per_cell": 2.505, "rho_g_cm3": 7.13, "lattice_angstrom": [[5.3452, 0.0000, 0.0000], [2.6726, 4.6290, 0.0000], [2.6726, 1.5430, 4.3643]], "species": ["In", "Ti", "Sm", "Sm"], "frac_coords": [[0.0000, 0.0000, 0.0000], [0.5000, 0.5000, 0.5000], [0.7500, 0.7500, 0.7500], [0.2500, 0.2500, 0.2500]]}

Tell me which of them is the most stable. Sure, it is one.